This record from Alexandria via LeMat-Bulk describes an optimized crystal structure of ScTl. The functional is GGA-PBE.

Computed properties:
* E_tot: -27.02 eV for the cell shown
* E_form: -0.154 eV/atom
* ρ: 8.36 g cm⁻³

abc: 6.029 6.029 8.332
angles: 64.35 64.35 33.38
Positions (direct):
Sc  0.435  0.435  0.713
Sc  0.020  0.020  0.999
Sc  0.265  0.265  0.351
Tl  0.993  0.993  0.371
Tl  0.753  0.753  0.043
Tl  0.701  0.701  0.690